Here is crystalline TbAl3Pd at its relaxed geometry from the Alexandria database. Energies are from PBE.

a b c (Å): 8.3363 4.1706 10.9671
angles (deg): 90.00 90.00 90.00
Space group Pnma (No. 62)
Inequivalent atoms, fractional coordinates:
Tb: 0.1840 0.2500 0.0109 x4
Al: 0.0652 0.2500 0.5885 x4
Al: 0.1127 0.7500 0.7957 x4
Al: 0.1408 0.7500 0.2163 x4
Pd: 0.1013 0.2500 0.3574 x4

Computed properties:
- density of states at the Fermi level (states/eV/f.u.) = 2.2
- ΔH_f (0 K) (kJ per mole of atoms) = -65.2
- final energy (eV/cell) = -97.72
- crystal system = orthorhombic